Below is a PBEsol-optimized structure of TiAuN2F, with properties calculated at the SCAN level.

The uncorrected formation energy comes out at 793 meV per atom. The uncorrected energy comes out at -20.67 eV/atom. The value obtained for the density of states at the Fermi level is 0.25 states/eV per atom.

The space group is P4/mmm (No. 123) and the conventional cell measures 3.950, 3.950 and 4.157 Å, with angles of 90.00, 90.00 and 90.00 degrees. The distinct sites, in fractional coordinates, are Ti at (0.000, 0.000, 0.000), Au at (0.500, 0.500, 0.500), N at (0.000, 0.500, 0.500) and F at (0.500, 0.500, 0.000).

=====

Below is a PBEsol-optimized structure of TiAuNF2, with properties calculated at the SCAN level.

The uncorrected formation energy comes out at -42 meV per atom. The uncorrected energy comes out at -20.35 eV/atom. The value obtained for the density of states at the Fermi level is 0.43 states/eV per atom.

The space group is P4/mmm (No. 123) and the conventional cell measures 4.569, 4.569 and 3.704 Å, with angles of 90.00, 90.00 and 90.00 degrees. The distinct sites, in fractional coordinates, are Ti at (0.000, 0.000, 0.000), Au at (0.500, 0.500, 0.500), N at (0.500, 0.500, 0.000) and F at (0.000, 0.500, 0.500).

=====

Below is a PBEsol-optimized structure of Rb2NaAuF6, with properties calculated at the SCAN level.

The uncorrected formation energy comes out at -2275 meV per atom. The uncorrected energy comes out at -15.88 eV/atom.

The space group is Fm-3m (No. 225) and the conventional cell measures 8.684, 8.684 and 8.684 Å, with angles of 90.00, 90.00 and 90.00 degrees. The distinct sites, in fractional coordinates, are Rb at (0.250, 0.250, 0.250), Na at (0.000, 0.000, 0.000), Au at (0.000, 0.000, 0.500) and F at (0.000, 0.000, 0.257).

=====

Below is a PBEsol-optimized structure of NbAu3F, with properties calculated at the SCAN level.

The uncorrected formation energy comes out at 666 meV per atom. The uncorrected energy comes out at -48.16 eV/atom. The value obtained for the density of states at the Fermi level is 0.86 states/eV per atom.

The space group is Pm-3m (No. 221) and the conventional cell measures 4.467, 4.467 and 4.467 Å, with angles of 90.00, 90.00 and 90.00 degrees. The distinct sites, in fractional coordinates, are Nb at (0.000, 0.000, 0.000), Au at (0.000, 0.500, 0.500) and F at (0.500, 0.500, 0.500).

=====

Below is a PBEsol-optimized structure of NbAuOF2, with properties calculated at the SCAN level.

The uncorrected formation energy comes out at -1635 meV per atom. The uncorrected energy comes out at -24.75 eV/atom. The value obtained for the density of states at the Fermi level is 0.44 states/eV per atom.

The space group is P4/mmm (No. 123) and the conventional cell measures 4.211, 4.211 and 3.929 Å, with angles of 90.00, 90.00 and 90.00 degrees. The distinct sites, in fractional coordinates, are Nb at (0.000, 0.000, 0.000), Au at (0.500, 0.500, 0.500), O at (0.000, 0.000, 0.500) and F at (0.000, 0.500, 0.000).

=====

Below is a PBEsol-optimized structure of NbPdAuF2, with properties calculated at the SCAN level.

The uncorrected formation energy comes out at 221 meV per atom. The uncorrected energy comes out at -28.21 eV/atom. The value obtained for the density of states at the Fermi level is 0.77 states/eV per atom.

The space group is P4/mmm (No. 123) and the conventional cell measures 4.004, 4.004 and 5.606 Å, with angles of 90.00, 90.00 and 90.00 degrees. The distinct sites, in fractional coordinates, are Nb at (0.000, 0.000, 0.000), Pd at (0.500, 0.500, 0.000), Au at (0.000, 0.000, 0.500) and F at (0.000, 0.500, 0.500).

=====

Below is a PBEsol-optimized structure of NiAu3F, with properties calculated at the SCAN level.

The uncorrected formation energy comes out at 697 meV per atom. The uncorrected energy comes out at -44.74 eV/atom. The value obtained for the density of states at the Fermi level is 1.30 states/eV per atom.

The space group is Pm-3m (No. 221) and the conventional cell measures 4.622, 4.622 and 4.622 Å, with angles of 90.00, 90.00 and 90.00 degrees. The distinct sites, in fractional coordinates, are Ni at (0.000, 0.000, 0.000), Au at (0.000, 0.000, 0.500) and F at (0.500, 0.500, 0.500).

=====

Below is a PBEsol-optimized structure of AuOF2, with properties calculated at the SCAN level.

The uncorrected formation energy comes out at 326 meV per atom. The uncorrected energy comes out at -20.29 eV/atom. The value obtained for the density of states at the Fermi level is 0.24 states/eV per atom.

The space group is R-3m (No. 166, hexagonal axes) and the conventional cell measures 2.8112, 2.8112 and 21.7450 Å, with angles of 90.00, 90.00 and 120.00 degrees. The distinct sites, in fractional coordinates, are Au at (0.0000, 0.0000, 0.0000), O at (0.0000, 0.0000, 0.5000) and F at (0.0000, 0.0000, 0.4232).

=====

Below is a PBEsol-optimized structure of RuAuO2F, with properties calculated at the SCAN level.

The uncorrected formation energy comes out at -470 meV per atom. The uncorrected energy comes out at -24.47 eV/atom. The value obtained for the density of states at the Fermi level is 0.64 states/eV per atom.

The space group is P4/mmm (No. 123) and the conventional cell measures 3.737, 3.737 and 4.404 Å, with angles of 90.00, 90.00 and 90.00 degrees. The distinct sites, in fractional coordinates, are Ru at (0.000, 0.000, 0.000), Au at (0.500, 0.500, 0.500), O at (0.000, 0.500, 0.000) and F at (0.000, 0.000, 0.500).

=====

Below is a PBEsol-optimized structure of RuAuO2F, with properties calculated at the SCAN level.

The uncorrected formation energy comes out at 424 meV per atom. The uncorrected energy comes out at -23.57 eV/atom. The value obtained for the density of states at the Fermi level is 0.42 states/eV per atom.

The space group is P4/mmm (No. 123) and the conventional cell measures 4.007, 4.007 and 4.253 Å, with angles of 90.00, 90.00 and 90.00 degrees. The distinct sites, in fractional coordinates, are Ru at (0.000, 0.000, 0.000), Au at (0.500, 0.500, 0.500), O at (0.000, 0.500, 0.500) and F at (0.500, 0.500, 0.000).

=====

Below is a PBEsol-optimized structure of RuAuOF2, with properties calculated at the SCAN level.

The uncorrected formation energy comes out at -693 meV per atom. The uncorrected energy comes out at -24.15 eV/atom. The value obtained for the density of states at the Fermi level is 0.45 states/eV per atom.

The space group is P4/mmm (No. 123) and the conventional cell measures 4.206, 4.206 and 3.654 Å, with angles of 90.00, 90.00 and 90.00 degrees. The distinct sites, in fractional coordinates, are Ru at (0.000, 0.000, 0.000), Au at (0.500, 0.500, 0.500), O at (0.000, 0.000, 0.500) and F at (0.000, 0.500, 0.000).

=====

Below is a PBEsol-optimized structure of AuSOF2, with properties calculated at the SCAN level.

The uncorrected formation energy comes out at 105 meV per atom. The uncorrected energy comes out at -18.31 eV/atom. The value obtained for the density of states at the Fermi level is 0.40 states/eV per atom.

The space group is P4/mmm (No. 123) and the conventional cell measures 4.292, 4.292 and 3.979 Å, with angles of 90.00, 90.00 and 90.00 degrees. The distinct sites, in fractional coordinates, are Au at (0.000, 0.000, 0.000), S at (0.500, 0.500, 0.500), O at (0.000, 0.000, 0.500) and F at (0.000, 0.500, 0.000).

=====

Below is a PBEsol-optimized structure of SbAuOF2, with properties calculated at the SCAN level.

The uncorrected formation energy comes out at -894 meV per atom. The uncorrected energy comes out at -24.84 eV/atom. The value obtained for the density of states at the Fermi level is 0.28 states/eV per atom.

The space group is P4/mmm (No. 123) and the conventional cell measures 4.358, 4.358 and 4.146 Å, with angles of 90.00, 90.00 and 90.00 degrees. The distinct sites, in fractional coordinates, are Sb at (0.000, 0.000, 0.000), Au at (0.500, 0.500, 0.500), O at (0.000, 0.000, 0.500) and F at (0.000, 0.500, 0.000).

=====

Below is a PBEsol-optimized structure of SiAuOF2, with properties calculated at the SCAN level.

For the energy above the lowest structure with this stoichiometry, the calculation gives 5.81 eV per formula unit. The uncorrected formation energy comes out at -80 meV per atom. The uncorrected energy comes out at -18.58 eV/atom. The value obtained for the density of states at the Fermi level is 0.31 states/eV per atom.

The space group is P4/mmm (No. 123) and the conventional cell measures 4.298, 4.298 and 4.061 Å, with angles of 90.00, 90.00 and 90.00 degrees. The distinct sites, in fractional coordinates, are Si at (0.000, 0.000, 0.000), Au at (0.500, 0.500, 0.500), O at (0.500, 0.500, 0.000) and F at (0.000, 0.500, 0.500).

=====

Below is a PBEsol-optimized structure of SiAuOF2, with properties calculated at the SCAN level.

For the energy above the lowest structure with this stoichiometry, the calculation gives 0.00 eV per formula unit. The uncorrected formation energy comes out at -1243 meV per atom. The uncorrected energy comes out at -19.74 eV/atom. The value obtained for the density of states at the Fermi level is 0.22 states/eV per atom.

The space group is P4/mmm (No. 123) and the conventional cell measures 4.168, 4.168 and 3.332 Å, with angles of 90.00, 90.00 and 90.00 degrees. The distinct sites, in fractional coordinates, are Si at (0.000, 0.000, 0.000), Au at (0.500, 0.500, 0.500), O at (0.000, 0.000, 0.500) and F at (0.000, 0.500, 0.000).

=====

Below is a PBEsol-optimized structure of TcAuOF2, with properties calculated at the SCAN level.

The uncorrected formation energy comes out at 10 meV per atom. The uncorrected energy comes out at -23.50 eV/atom. The value obtained for the density of states at the Fermi level is 0.35 states/eV per atom.

The space group is P4/mmm (No. 123) and the conventional cell measures 4.333, 4.333 and 4.041 Å, with angles of 90.00, 90.00 and 90.00 degrees. The distinct sites, in fractional coordinates, are Tc at (0.000, 0.000, 0.000), Au at (0.500, 0.500, 0.500), O at (0.500, 0.500, 0.000) and F at (0.000, 0.500, 0.500).

=====

Below is a PBEsol-optimized structure of TcAuO2F, with properties calculated at the SCAN level.

The uncorrected formation energy comes out at 195 meV per atom. The uncorrected energy comes out at -23.85 eV/atom. The value obtained for the density of states at the Fermi level is 0.21 states/eV per atom.

The space group is P4/mmm (No. 123) and the conventional cell measures 4.062, 4.062 and 4.201 Å, with angles of 90.00, 90.00 and 90.00 degrees. The distinct sites, in fractional coordinates, are Tc at (0.000, 0.000, 0.000), Au at (0.500, 0.500, 0.500), O at (0.000, 0.500, 0.500) and F at (0.500, 0.500, 0.000).

=====

Below is a PBEsol-optimized structure of TlAuO2F, with properties calculated at the SCAN level.

The uncorrected formation energy comes out at -421 meV per atom. The uncorrected energy comes out at -31.92 eV/atom. The value obtained for the density of states at the Fermi level is 0.46 states/eV per atom.

The space group is P4/mmm (No. 123) and the conventional cell measures 3.882, 3.882 and 5.229 Å, with angles of 90.00, 90.00 and 90.00 degrees. The distinct sites, in fractional coordinates, are Tl at (0.000, 0.000, 0.000), Au at (0.500, 0.500, 0.500), O at (0.000, 0.500, 0.500) and F at (0.500, 0.500, 0.000).

=====

Below is a PBEsol-optimized structure of W2AuOF, with properties calculated at the SCAN level.

The uncorrected formation energy comes out at 2164 meV per atom. The uncorrected energy comes out at -41.50 eV/atom. The value obtained for the density of states at the Fermi level is 0.83 states/eV per atom.

The space group is P4/mmm (No. 123) and the conventional cell measures 5.123, 5.123 and 3.898 Å, with angles of 90.00, 90.00 and 90.00 degrees. The distinct sites, in fractional coordinates, are W at (0.000, 0.500, 0.000), Au at (0.000, 0.000, 0.000), O at (0.000, 0.000, 0.500) and F at (0.500, 0.500, 0.500).

=====

Below is a PBEsol-optimized structure of ZrAuOF2, with properties calculated at the SCAN level.

For the energy above the lowest structure with this stoichiometry, the calculation gives 0.00 eV per formula unit. The uncorrected formation energy comes out at -2374 meV per atom. The uncorrected energy comes out at -25.01 eV/atom. The value obtained for the density of states at the Fermi level is 0.44 states/eV per atom.

The space group is P4/mmm (No. 123) and the conventional cell measures 4.228, 4.228 and 4.032 Å, with angles of 90.00, 90.00 and 90.00 degrees. The distinct sites, in fractional coordinates, are Zr at (0.000, 0.000, 0.000), Au at (0.500, 0.500, 0.500), O at (0.000, 0.000, 0.500) and F at (0.000, 0.500, 0.000).